A geometry-optimized Rb2PdBr5 structure, computed with GGA-PBE.

Values from the calculation:
Uncorrected energy (eV per atom): -2.946
Formation energy (no corrections) (eV per atom): -1.01

Cell: 7.7742 7.7742 9.8339 Å, 90.00 90.00 90.00°
With the nearest neighbours (Å) after each atom.
Space group I4mm (No. 107)
Asymmetric unit:
Rb  0.0000  0.5000  0.0000  10 Br 3.68-3.90
Pd  0.0000  0.0000  0.2687  5 Br 2.50-2.61
Br  0.0000  0.0000  0.5343  1 Pd 2.61
Br  0.2263  0.2263  0.2469  1 Pd 2.50

=====

A geometry-optimized Cr2PtI structure, computed with GGA-PBE.

Values from the calculation:
Polymorph energy (0 for the lowest one) (eV/atom): 0.073
Uncorrected energy (eV per atom): -5.947
Formation energy (no corrections) (eV per atom): 0.76

Cell: 6.2609 6.2609 6.2609 Å, 90.00 90.00 90.00°
With the nearest neighbours (Å) after each atom.
Space group Fm-3m (No. 225)
Asymmetric unit:
Cr  0.2500  0.2500  0.2500  4 I 2.71, 4 Pt 2.71
Pt  0.0000  0.0000  0.0000  8 Cr 2.71
I  0.0000  0.0000  0.5000  8 Cr 2.71

=====

A geometry-optimized InRuBr2 structure, computed with GGA-PBE.

Values from the calculation:
Polymorph energy (0 for the lowest one) (eV/atom): 0.194
Uncorrected energy (eV per atom): -3.731
Formation energy (no corrections) (eV per atom): 0.11

Cell: 3.7195 3.7195 28.3370 Å, 90.00 90.00 120.00°
With the nearest neighbours (Å) after each atom.
Space group R-3m (No. 166, hexagonal axes)
Asymmetric unit:
In  0.0000  0.0000  0.0000  2 Br 3.36, 6 In 3.72
Ru  0.0000  0.0000  0.5000  6 Br 2.54
Br  0.0000  0.0000  0.1186  3 Ru 2.54

=====

A geometry-optimized Os2RuW structure, computed with GGA-PBE.

Values from the calculation:
Polymorph energy (0 for the lowest one) (eV/atom): 0.157
ΔH_f (0 K) (eV per atom): 0.1504
Uncorrected energy (eV per atom): -11.022

Cell: 2.7484 2.7484 27.0160 Å, 90.00 90.00 120.00°
With the nearest neighbours (Å) after each atom.
Space group R-3m (No. 166, hexagonal axes)
Asymmetric unit:
Os  0.0000  0.0000  0.2483  3 Ru 2.72, 6 Os 2.75, 3 W 2.79
Ru  0.0000  0.0000  0.5000  6 Os 2.72, 6 Ru 2.75
W  0.0000  0.0000  0.0000  6 W 2.75, 6 Os 2.79

=====

A geometry-optimized Ho2SnPb structure, computed with GGA-PBE.

Values from the calculation:
Polymorph energy (0 for the lowest one) (eV/atom): 0.148
ΔH_f (0 K) (eV per atom): -0.4293
Uncorrected energy (eV per atom): -4.646

Cell: 3.8692 3.8692 26.9175 Å, 90.00 90.00 120.00°
With the nearest neighbours (Å) after each atom.
Space group R-3m (No. 166, hexagonal axes)
Asymmetric unit:
Ho  0.0000  0.0000  0.2478  3 Sn 3.12, 3 Pb 3.21
Sn  0.0000  0.0000  0.5000  6 Ho 3.12
Pb  0.0000  0.0000  0.0000  6 Ho 3.21

=====

A geometry-optimized Cs3Tl2I8 structure, computed with GGA-PBE.

Values from the calculation:
Uncorrected energy (eV per atom): -2.398
Formation energy (no corrections) (eV per atom): -0.88

Cell: 8.7335 8.7335 32.9871 Å, 90.00 90.00 120.00°
With the nearest neighbours (Å) after each atom.
Space group R-3m (No. 166, hexagonal axes)
Asymmetric unit:
Cs  0.0000  0.0000  0.0000  6 I 4.10
Cs  0.0000  0.0000  0.2086  4 I 3.78-4.10
Tl  0.0000  0.0000  0.4120  4 I 2.93-2.94
I  0.0000  0.0000  0.3232  1 Tl 2.93
I  0.0384  0.5192  0.7711  1 Tl 2.94